[1]
Crystalline BaTe2SeI at its relaxed geometry, computed with PBE.

POSCAR file:
```
BaTe2SeI
1.0
6.902 0.000 0.000
0.000 6.902 0.000
0.000 0.000 6.648
Ba Te Se I
1 2 1 1
direct
0.000 0.000 0.000 Ba
0.000 0.500 0.000 Te
0.500 0.000 0.000 Te
0.500 0.500 0.500 Se
0.000 0.000 0.500 I
```

Calculated values
Energy above the lowest structure with this stoichiometry in meV per atom: 869
Raw formation energy in eV per atom: 0.25

=====

[2]
Crystalline BaTe2SeI at its relaxed geometry, computed with PBE.

POSCAR file:
```
BaTe2SeI
1.0
5.598 0.000 0.000
0.000 5.598 0.000
0.000 0.000 5.862
Ba Te Se I
1 2 1 1
direct
0.000 0.000 0.000 Ba
0.000 0.500 0.500 Te
0.500 0.000 0.500 Te
0.500 0.500 0.500 Se
0.500 0.500 0.000 I
```

Calculated values
Energy above the lowest structure with this stoichiometry in meV per atom: 0
Raw formation energy in eV per atom: -0.62

=====

[3]
Crystalline Ba6Te3SeI2 at its relaxed geometry, computed with PBE.

POSCAR file:
```
Ba6Te3SeI2
1.0
4.310 -7.441 0.000
4.310 7.441 0.000
-2.863 0.000 7.986
Ba Te Se I
6 3 1 2
direct
0.084 0.398 0.754 Ba
0.227 0.227 0.242 Ba
0.398 0.084 0.754 Ba
0.602 0.916 0.246 Ba
0.773 0.773 0.758 Ba
0.916 0.602 0.246 Ba
0.173 0.827 0.000 Te
0.500 0.500 0.000 Te
0.827 0.173 0.000 Te
0.000 0.000 0.500 Se
0.335 0.665 0.500 I
0.665 0.335 0.500 I
```

Calculated values
Raw formation energy in eV per atom: -1.69

=====

[4]
Crystalline Ba4TeSeI2 at its relaxed geometry, computed with PBE.

POSCAR file:
```
Ba4TeSeI2
1.0
8.475 0.000 0.000
0.000 4.879 0.000
-2.804 0.000 8.181
Ba Te Se I
4 1 1 2
direct
0.227 0.000 0.216 Ba
0.247 0.500 0.776 Ba
0.753 0.500 0.224 Ba
0.773 0.000 0.784 Ba
0.500 0.000 0.000 Te
0.000 0.500 0.000 Se
0.000 0.000 0.500 I
0.500 0.500 0.500 I
```

Calculated values
Raw formation energy in eV per atom: -1.64

=====

[5]
Crystalline BaTlSeI at its relaxed geometry, computed with PBE.

POSCAR file:
```
BaTlSeI
1.0
8.222 0.000 0.000
0.000 8.222 0.000
0.000 0.000 8.222
Ba Tl Se I
4 4 4 4
direct
0.000 0.000 0.000 Ba
0.000 0.500 0.500 Ba
0.500 0.000 0.500 Ba
0.500 0.500 0.000 Ba
0.000 0.000 0.500 Tl
0.000 0.500 0.000 Tl
0.500 0.000 0.000 Tl
0.500 0.500 0.500 Tl
0.250 0.250 0.250 Se
0.250 0.750 0.750 Se
0.750 0.250 0.750 Se
0.750 0.750 0.250 Se
0.250 0.250 0.750 I
0.250 0.750 0.250 I
0.750 0.250 0.250 I
0.750 0.750 0.750 I
```

Calculated values
Energy above the lowest structure with this stoichiometry in meV per atom: 97
Raw formation energy in eV per atom: -1.19

=====

[6]
Crystalline BaTlSeI at its relaxed geometry, computed with PBE.

POSCAR file:
```
BaTlSeI
1.0
2.391 1.381 17.857
-2.391 1.381 17.857
0.000 -2.761 17.857
Ba Tl Se I
2 2 2 2
direct
0.092 0.092 0.092 Ba
0.908 0.908 0.908 Ba
0.306 0.306 0.306 Tl
0.694 0.694 0.694 Tl
0.390 0.390 0.390 Se
0.610 0.610 0.610 Se
0.204 0.204 0.204 I
0.796 0.796 0.796 I
```

Calculated values
Energy above the lowest structure with this stoichiometry in meV per atom: 0
Raw formation energy in eV per atom: -1.29

=====

[7]
Crystalline BaSiI3 at its relaxed geometry, computed with PBE.

POSCAR file:
```
BaSiI3
1.0
5.776 0.000 0.000
0.000 5.776 0.000
0.000 0.000 5.776
Ba Si I
1 1 3
direct
0.000 0.000 0.000 Ba
0.500 0.500 0.500 Si
0.000 0.500 0.500 I
0.500 0.000 0.500 I
0.500 0.500 0.000 I
```

Calculated values
Energy above the lowest structure with this stoichiometry in meV per atom: 0
Raw formation energy in eV per atom: -0.59

=====

[8]
Crystalline Ba5SiI4 at its relaxed geometry, computed with PBE.

POSCAR file:
```
Ba5SiI4
1.0
-5.597 5.597 3.496
5.597 -5.597 3.496
5.597 5.597 -3.496
Ba Si I
5 1 4
direct
0.000 0.000 0.000 Ba
0.230 0.403 0.634 Ba
0.403 0.770 0.173 Ba
0.597 0.230 0.827 Ba
0.770 0.597 0.366 Ba
0.500 0.500 0.000 Si
0.091 0.691 0.783 I
0.309 0.091 0.400 I
0.691 0.909 0.600 I
0.909 0.309 0.217 I
```

Calculated values
Raw formation energy in eV per atom: -1.20

=====

[9]
Crystalline Ba5Si2I at its relaxed geometry, computed with PBE.

POSCAR file:
```
Ba5Si2I
1.0
-4.354 4.354 8.759
4.354 -4.354 8.759
4.354 4.354 -8.759
Ba Si I
10 4 2
direct
0.000 0.000 0.000 Ba
0.039 0.539 0.842 Ba
0.197 0.039 0.500 Ba
0.303 0.803 0.842 Ba
0.461 0.303 0.500 Ba
0.500 0.500 0.000 Ba
0.539 0.697 0.500 Ba
0.697 0.197 0.158 Ba
0.803 0.961 0.500 Ba
0.961 0.461 0.158 Ba
0.104 0.396 0.500 Si
0.396 0.896 0.292 Si
0.604 0.104 0.708 Si
0.896 0.604 0.500 Si
0.250 0.250 0.000 I
0.750 0.750 0.000 I
```

Calculated values
Raw formation energy in eV per atom: -0.50

=====

[10]
Crystalline Ba5Si2I2 at its relaxed geometry, computed with PBE.

POSCAR file:
```
Ba5Si2I2
1.0
9.002 -4.458 0.000
9.002 4.458 0.000
0.000 0.000 8.996
Ba Si I
10 4 4
direct
0.000 0.000 0.000 Ba
0.049 0.709 0.671 Ba
0.209 0.549 0.171 Ba
0.291 0.951 0.671 Ba
0.451 0.791 0.171 Ba
0.500 0.500 0.500 Ba
0.549 0.209 0.829 Ba
0.709 0.049 0.329 Ba
0.791 0.451 0.829 Ba
0.951 0.291 0.329 Ba
0.108 0.892 0.394 Si
0.392 0.608 0.894 Si
0.608 0.392 0.106 Si
0.892 0.108 0.606 Si
0.206 0.206 0.000 I
0.294 0.294 0.500 I
0.706 0.706 0.500 I
0.794 0.794 0.000 I
```

Calculated values
Raw formation energy in eV per atom: -0.76

=====

[11]
Crystalline Ba4SiI at its relaxed geometry, computed with PBE.

POSCAR file:
```
Ba4SiI
1.0
4.918 -9.559 0.000
4.918 9.559 0.000
-4.644 0.000 6.992
Ba Si I
8 2 2
direct
0.037 0.412 0.747 Ba
0.149 0.274 0.216 Ba
0.274 0.149 0.716 Ba
0.412 0.037 0.247 Ba
0.588 0.963 0.753 Ba
0.726 0.851 0.284 Ba
0.851 0.726 0.784 Ba
0.963 0.588 0.253 Ba
0.066 0.934 0.250 Si
0.934 0.066 0.750 Si
0.438 0.562 0.750 I
0.562 0.438 0.250 I
```

Calculated values
Raw formation energy in eV per atom: -0.54

=====

[12]
Crystalline Ba4SiI2 at its relaxed geometry, computed with PBE.

POSCAR file:
```
Ba4SiI2
1.0
11.088 0.000 0.000
0.000 11.088 0.000
0.000 0.000 11.629
Ba Si I
16 4 8
direct
0.053 0.310 0.210 Ba
0.053 0.690 0.290 Ba
0.260 0.444 0.523 Ba
0.260 0.556 0.977 Ba
0.310 0.053 0.540 Ba
0.310 0.947 0.960 Ba
0.444 0.260 0.227 Ba
0.444 0.740 0.273 Ba
0.556 0.260 0.773 Ba
0.556 0.740 0.727 Ba
0.690 0.053 0.460 Ba
0.690 0.947 0.040 Ba
0.740 0.444 0.477 Ba
0.740 0.556 0.023 Ba
0.947 0.310 0.790 Ba
0.947 0.690 0.710 Ba
0.263 0.500 0.250 Si
0.500 0.263 0.500 Si
0.500 0.737 0.000 Si
0.737 0.500 0.750 Si
0.000 0.208 0.500 I
0.000 0.792 0.000 I
0.208 0.000 0.250 I
0.251 0.251 0.875 I
0.251 0.749 0.625 I
0.749 0.251 0.125 I
0.749 0.749 0.375 I
0.792 0.000 0.750 I
```

Calculated values
Raw formation energy in eV per atom: -0.81

=====

[13]
Crystalline BaSi2I at its relaxed geometry, computed with PBE.

POSCAR file:
```
BaSi2I
1.0
7.770 0.000 0.000
0.000 7.770 0.000
0.000 0.000 7.770
Ba Si I
4 8 4
direct
0.000 0.000 0.000 Ba
0.000 0.500 0.500 Ba
0.500 0.000 0.500 Ba
0.500 0.500 0.000 Ba
0.250 0.250 0.250 Si
0.250 0.250 0.750 Si
0.250 0.750 0.250 Si
0.250 0.750 0.750 Si
0.750 0.250 0.250 Si
0.750 0.250 0.750 Si
0.750 0.750 0.250 Si
0.750 0.750 0.750 Si
0.000 0.000 0.500 I
0.000 0.500 0.000 I
0.500 0.000 0.000 I
0.500 0.500 0.500 I
```

Calculated values
Energy above the lowest structure with this stoichiometry in meV per atom: 75
Raw formation energy in eV per atom: 0.53

=====

[14]
Crystalline BaSi2I at its relaxed geometry, computed with PBE.

POSCAR file:
```
BaSi2I
1.0
8.961 0.000 0.000
0.000 8.961 0.000
0.000 0.000 6.388
Ba Si I
4 8 4
direct
0.000 0.000 0.000 Ba
0.000 0.500 0.250 Ba
0.500 0.000 0.750 Ba
0.500 0.500 0.500 Ba
0.226 0.750 0.625 Si
0.250 0.226 0.375 Si
0.250 0.274 0.875 Si
0.274 0.750 0.125 Si
0.726 0.250 0.125 Si
0.750 0.726 0.875 Si
0.750 0.774 0.375 Si
0.774 0.250 0.625 Si
0.000 0.000 0.500 I
0.000 0.500 0.750 I
0.500 0.000 0.250 I
0.500 0.500 0.000 I
```

Calculated values
Energy above the lowest structure with this stoichiometry in meV per atom: 0
Raw formation energy in eV per atom: 0.45

=====

[15]
Crystalline BaSiI3 at its relaxed geometry, computed with PBE.

POSCAR file:
```
BaSiI3
1.0
6.703 0.000 0.000
0.000 6.703 0.000
0.000 0.000 6.703
Ba Si I
1 1 3
direct
0.000 0.000 0.000 Ba
0.500 0.500 0.500 Si
0.000 0.000 0.500 I
0.000 0.500 0.000 I
0.500 0.000 0.000 I
```

Calculated values
Energy above the lowest structure with this stoichiometry in meV per atom: 431
Raw formation energy in eV per atom: -0.16

=====

[16]
Crystalline BaSi3I at its relaxed geometry, computed with PBE.

POSCAR file:
```
BaSi3I
1.0
5.421 0.000 0.000
0.000 5.421 0.000
0.000 0.000 5.421
Ba Si I
1 3 1
direct
0.000 0.000 0.000 Ba
0.000 0.500 0.500 Si
0.500 0.000 0.500 Si
0.500 0.500 0.000 Si
0.500 0.500 0.500 I
```

Calculated values
Energy above the lowest structure with this stoichiometry in meV per atom: 0
Raw formation energy in eV per atom: 0.88

=====

[17]
Crystalline Ba3SiI3 at its relaxed geometry, computed with PBE.

POSCAR file:
```
Ba3SiI3
1.0
-7.013 7.013 7.013
7.013 -7.013 7.013
7.013 7.013 -7.013
Ba Si I
12 4 12
direct
0.009 0.018 0.259 Ba
0.009 0.491 0.750 Ba
0.018 0.259 0.009 Ba
0.241 0.259 0.750 Ba
0.241 0.482 0.491 Ba
0.259 0.009 0.018 Ba
0.259 0.750 0.241 Ba
0.482 0.491 0.241 Ba
0.491 0.241 0.482 Ba
0.491 0.750 0.009 Ba
0.750 0.009 0.491 Ba
0.750 0.241 0.259 Ba
0.000 0.250 0.500 Si
0.250 0.250 0.250 Si
0.250 0.500 0.000 Si
0.500 0.000 0.250 Si
0.250 0.751 0.749 I
0.250 0.999 0.501 I
0.501 0.250 0.999 I
0.501 0.501 0.751 I
0.501 0.751 0.501 I
0.749 0.250 0.751 I
0.749 0.999 0.999 I
0.751 0.501 0.501 I
0.751 0.749 0.250 I
0.999 0.501 0.250 I
0.999 0.749 0.999 I
0.999 0.999 0.749 I
```

Calculated values
Raw formation energy in eV per atom: -1.22

=====

[18]
Crystalline Ba4SiI3 at its relaxed geometry, computed with PBE.

POSCAR file:
```
Ba4SiI3
1.0
8.789 0.000 0.000
0.000 10.042 0.000
-2.827 0.000 8.107
Ba Si I
8 2 6
direct
0.215 0.105 0.002 Ba
0.215 0.895 0.502 Ba
0.227 0.350 0.473 Ba
0.227 0.650 0.973 Ba
0.773 0.350 0.027 Ba
0.773 0.650 0.527 Ba
0.785 0.105 0.498 Ba
0.785 0.895 0.998 Ba
0.000 0.129 0.250 Si
0.000 0.871 0.750 Si
0.000 0.377 0.750 I
0.000 0.623 0.250 I
0.500 0.131 0.750 I
0.500 0.381 0.250 I
0.500 0.619 0.750 I
0.500 0.869 0.250 I
```

Calculated values
Raw formation energy in eV per atom: -1.18

=====

[19]
Crystalline BaSi3I at its relaxed geometry, computed with PBE.

POSCAR file:
```
BaSi3I
1.0
5.995 0.000 0.000
0.000 5.995 0.000
0.000 0.000 5.995
Ba Si I
1 3 1
direct
0.000 0.000 0.000 Ba
0.000 0.000 0.500 Si
0.000 0.500 0.000 Si
0.500 0.000 0.000 Si
0.500 0.500 0.500 I
```

Calculated values
Energy above the lowest structure with this stoichiometry in meV per atom: 803
Raw formation energy in eV per atom: 1.68

=====

[20]
Crystalline Ba3SiI2 at its relaxed geometry, computed with PBE.

POSCAR file:
```
Ba3SiI2
1.0
0.000 7.130 14.943
5.113 0.000 14.943
5.113 7.130 0.000
Ba Si I
12 4 8
direct
0.030 0.537 0.180 Ba
0.081 0.669 0.669 Ba
0.180 0.754 0.030 Ba
0.246 0.820 0.463 Ba
0.331 0.919 0.919 Ba
0.463 0.970 0.246 Ba
0.537 0.030 0.754 Ba
0.669 0.081 0.081 Ba
0.754 0.180 0.537 Ba
0.820 0.246 0.970 Ba
0.919 0.331 0.331 Ba
0.970 0.463 0.820 Ba
0.041 0.041 0.209 Si
0.209 0.209 0.041 Si
0.791 0.791 0.959 Si
0.959 0.959 0.791 Si
0.129 0.129 0.621 I
0.297 0.297 0.453 I
0.379 0.379 0.871 I
0.453 0.453 0.297 I
0.547 0.547 0.703 I
0.621 0.621 0.129 I
0.703 0.703 0.547 I
0.871 0.871 0.379 I
```

Calculated values
Raw formation energy in eV per atom: -1.12

=====

[21]
Crystalline Ba5SiI5 at its relaxed geometry, computed with PBE.

POSCAR file:
```
Ba5SiI5
1.0
7.981 -3.496 0.000
7.981 3.496 0.000
-3.230 0.000 9.469
Ba Si I
5 1 5
direct
0.000 0.000 0.000 Ba
0.350 0.350 0.695 Ba
0.351 0.351 0.153 Ba
0.649 0.649 0.847 Ba
0.650 0.650 0.305 Ba
0.500 0.500 0.000 Si
0.167 0.167 0.829 I
0.180 0.180 0.335 I
0.500 0.500 0.500 I
0.820 0.820 0.665 I
0.833 0.833 0.171 I
```

Calculated values
Raw formation energy in eV per atom: -1.35